VASP calculation (meta-GGA SCAN) on a PBEsol-optimized structure of GdCuAs2.

final energy: -29.505 eV per atom
space-group type: P4/nmm (129)
total moment: 1.742 μB per atom
energy of formation from the pure elements: -906 meV/atom

Structure (POSCAR):
```
GdCuAs2
1.0
3.880 0.000 0.000
0.000 3.880 0.000
0.000 0.000 9.739
Gd Cu As
2 2 4
Direct
0.000 0.500 0.761
0.500 0.000 0.239
0.000 0.000 0.500
0.500 0.500 0.500
0.500 0.500 0.000
0.000 0.000 0.000
0.500 0.000 0.658
0.000 0.500 0.342
```



VASP calculation (meta-GGA SCAN) on a PBEsol-optimized structure of Mn3WBr.

final energy: -27.345 eV per atom
ΔE_f (raw): 1438 meV/atom
space-group type: Pm-3m (221)
total moment: 1.385 μB per atom

Structure (POSCAR):
```
Mn3WBr
1.0
4.304 0.000 0.000
0.000 4.304 0.000
0.000 0.000 4.304
Mn Br W
3 1 1
Direct
0.000 0.500 0.000
0.000 0.000 0.500
0.500 0.000 0.000
0.000 0.000 0.000
0.500 0.500 0.500
```